#a
Sr2CaI6 | Alexandria | SCAN | single point on PBEsol structure; calculated volume = 724.45 Å³ per cell
1.0
11.7759 -3.9252 0.0000
11.7759 3.9252 0.0000
0.0000 0.0000 7.8364
Sr Ca I
4 2 12
Cartesian
3.9044 0.0000 0.0000 Sr
7.8715 0.0000 3.9182 Sr
15.6803 0.0000 3.9182 Sr
19.6474 0.0000 0.0000 Sr
0.0000 0.0000 3.9182 Ca
11.7759 0.0000 0.0000 Ca
5.8880 1.8562 5.8773 I
9.8367 2.1738 5.6918 I
9.8367 1.7514 1.7736 I
13.7151 2.1738 5.6918 I
13.7151 1.7514 1.7736 I
5.8880 -1.8562 1.9591 I
17.6639 1.8562 5.8773 I
9.8367 -1.7514 6.0628 I
9.8367 -2.1738 2.1446 I
13.7151 -1.7514 6.0628 I
13.7151 -2.1738 2.1446 I
17.6639 -1.8562 1.9591 I

#b
Sr2CaI6 | Alexandria | SCAN | single point on PBEsol structure; calculated volume = 1177.76 Å³ per cell
1.0
13.7137 0.0000 0.0000
-6.8569 11.8765 0.0000
0.0000 0.0000 7.2312
Sr Ca I
6 3 18
Cartesian
-2.1660 3.7517 0.0000 Sr
-4.4564 7.7188 3.6156 Sr
4.3321 0.0000 0.0000 Sr
2.4004 4.1577 3.6156 Sr
8.9129 0.0000 3.6156 Sr
4.6908 8.1248 0.0000 Sr
0.0000 0.0000 3.6156 Ca
0.0000 7.9176 7.2152 Ca
6.8569 3.9588 0.0160 Ca
-4.7644 10.4293 1.8453 I
-2.0768 6.4744 1.7810 I
0.2070 2.5357 1.8453 I
2.0925 1.4471 5.3860 I
-0.0343 5.3896 5.4185 I
-2.1722 9.2114 5.4185 I
-0.2114 10.4378 1.7810 I
4.6847 2.6651 1.8128 I
2.2883 6.8406 1.7810 I
6.6454 1.4386 5.4502 I
2.2065 9.1519 5.4185 I
4.7800 5.4020 5.4502 I
6.8225 6.4869 1.8128 I
9.0634 2.7245 1.8128 I
4.5574 10.7879 1.8453 I
11.4142 1.0886 5.3860 I
9.1452 5.0358 5.4502 I
7.0639 9.3407 5.3860 I

Energy above the most stable structure, in meV per atom: #a 73; #b 0

#a
Sr2CaI6 | Alexandria | SCAN | single point on PBEsol structure; calculated volume = 699.35 Å³ per cell
1.0
7.4956 0.0000 0.0000
0.0000 8.2506 0.0000
-6.6806 0.0000 11.3084
Sr Ca I
4 2 12
Cartesian
-0.2175 0.9177 2.6398 Sr
-3.5578 3.2076 8.2940 Sr
4.3728 5.0430 3.0143 Sr
1.0325 7.3329 8.6685 Sr
3.7478 0.0000 0.0000 Ca
0.4075 4.1253 5.6542 Ca
-5.4813 1.5562 10.5982 I
-2.1410 2.5691 4.9440 I
-4.2917 5.5857 10.4872 I
-0.9514 6.7902 4.8330 I
-1.9932 0.3520 8.4246 I
1.3471 3.7733 2.7704 I
-0.5321 4.4773 8.5380 I
2.8082 7.8986 2.8838 I
1.7664 1.4604 6.4754 I
5.1067 2.6649 0.8212 I
2.9560 5.6814 6.3644 I
6.2963 6.6944 0.7102 I

#b
Sr2CaI6 | Alexandria | SCAN | single point on PBEsol structure; calculated volume = 813.18 Å³ per cell
1.0
7.5136 0.0000 0.0000
0.0000 7.5136 0.0000
0.0000 0.0000 14.4043
Sr Ca I
4 2 12
Cartesian
0.0000 0.0000 2.3971 Sr
0.0000 0.0000 12.0071 Sr
3.7568 3.7568 4.8050 Sr
3.7568 3.7568 9.5993 Sr
0.0000 0.0000 7.2021 Ca
3.7568 3.7568 0.0000 Ca
1.4623 1.4623 4.8961 I
1.4623 1.4623 9.5082 I
1.5452 1.5452 0.0000 I
2.2116 5.3020 7.2021 I
2.2945 5.2191 2.3060 I
2.2945 5.2191 12.0983 I
5.2191 2.2945 2.3060 I
5.2191 2.2945 12.0983 I
5.3020 2.2116 7.2021 I
5.9685 5.9685 0.0000 I
6.0513 6.0513 4.8961 I
6.0513 6.0513 9.5082 I

Energy above the most stable structure, in meV per atom: #a 0; #b 9

#a
Sr2CaI6 | Alexandria | SCAN | single point on PBEsol structure; calculated volume = 1452.85 Å³ per cell
1.0
7.8615 0.0000 0.0000
0.0000 7.8615 0.0000
0.0000 0.0000 23.5077
Sr Ca I
8 4 24
Cartesian
0.0000 0.0000 3.9030 Sr
0.0000 0.0000 19.6047 Sr
0.0000 3.9308 7.8674 Sr
0.0000 3.9308 15.6402 Sr
3.9308 0.0000 7.8674 Sr
3.9308 0.0000 15.6402 Sr
3.9308 3.9308 3.9030 Sr
3.9308 3.9308 19.6047 Sr
0.0000 0.0000 11.7538 Ca
0.0000 3.9308 0.0000 Ca
3.9308 0.0000 0.0000 Ca
3.9308 3.9308 11.7538 Ca
1.6677 1.6843 13.7110 I
1.6843 6.1938 9.7967 I
1.7513 2.1335 21.5730 I
1.7973 2.1795 1.9347 I
1.8433 5.9252 17.6196 I
1.9363 1.8433 5.8881 I
1.9945 5.7741 5.8881 I
2.0874 1.9945 17.6196 I
2.1335 6.1102 1.9347 I
2.1795 6.0642 21.5730 I
2.2464 2.2630 9.7967 I
2.2630 5.6151 13.7110 I
5.5985 2.2464 13.7110 I
5.6151 5.5985 9.7967 I
5.6820 1.7973 21.5730 I
5.7280 1.7513 1.9347 I
5.7741 5.8671 17.6196 I
5.8671 2.0874 5.8881 I
5.9252 6.0182 5.8881 I
6.0182 1.9363 17.6196 I
6.0642 5.6820 1.9347 I
6.1102 5.7280 21.5730 I
6.1772 1.6677 9.7967 I
6.1938 6.1772 13.7110 I

#b
Sr2CaI6 | Alexandria | SCAN | single point on PBEsol structure; calculated volume = 751.57 Å³ per cell
1.0
12.3727 -3.8499 0.0000
12.3727 3.8499 0.0000
-2.4773 0.0000 7.8890
Sr Ca I
4 2 12
Cartesian
6.0478 2.3182 6.4111 Sr
14.9818 2.3182 5.4225 Sr
7.2864 -2.3182 2.4665 Sr
16.2204 -2.3182 1.4780 Sr
11.7534 1.2872 1.9723 Ca
10.5148 -1.2872 5.9168 Ca
0.0768 0.1767 6.6916 I
1.3154 -0.1767 2.7470 I
6.5169 0.0164 0.1721 I
5.2783 -0.0164 4.1167 I
9.2500 0.0978 3.4157 I
8.0114 -0.0978 7.3602 I
14.2568 0.0978 0.5288 I
13.0182 -0.0978 4.4734 I
16.9899 0.0164 3.7724 I
15.7512 -0.0164 7.7169 I
20.9528 0.1767 5.1420 I
22.1914 -0.1767 1.1975 I

Energy above the most stable structure, in meV per atom: #a 36; #b 0

#a
Sr2CaI6 | Alexandria | SCAN | single point on PBEsol structure; calculated volume = 1566.29 Å³ per cell
1.0
7.2043 0.0000 0.0000
0.0000 27.0161 0.0000
0.0000 0.0000 8.0474
Sr Ca I
8 4 24
Cartesian
0.0000 1.2995 2.0119 Sr
0.0000 7.7079 6.0356 Sr
0.0000 19.3082 2.0119 Sr
0.0000 25.7166 6.0356 Sr
3.6021 5.8002 2.0119 Sr
3.6021 12.2086 6.0356 Sr
3.6021 14.8075 2.0119 Sr
3.6021 21.2159 6.0356 Sr
0.0000 10.2909 2.0119 Ca
0.0000 16.7252 6.0356 Ca
3.6021 3.2171 6.0356 Ca
3.6021 23.7990 2.0119 Ca
1.7618 12.4849 0.6596 I
1.7618 14.5312 4.6833 I
1.7690 9.9918 4.5350 I
1.7690 17.0243 0.5113 I
1.7773 8.1190 0.6570 I
1.7773 18.8971 4.6807 I
1.8248 5.3890 4.6807 I
1.8248 21.6271 0.6570 I
1.8331 3.5163 0.5113 I
1.8331 23.4999 4.5350 I
1.8404 1.0231 4.6833 I
1.8404 25.9930 0.6596 I
5.3639 1.0231 7.3879 I
5.3639 25.9930 3.3641 I
5.3712 3.5163 3.5124 I
5.3712 23.4999 7.5361 I
5.3795 5.3890 7.3904 I
5.3795 21.6271 3.3667 I
5.4270 8.1190 3.3667 I
5.4270 18.8971 7.3904 I
5.4353 9.9918 7.5361 I
5.4353 17.0243 3.5124 I
5.4425 12.4849 3.3641 I
5.4425 14.5312 7.3879 I

#b
Sr2CaI6 | Alexandria | SCAN | single point on PBEsol structure; calculated volume = 387.13 Å³ per cell
1.0
8.0188 0.0000 0.0000
-4.0094 6.9445 0.0000
0.0000 0.0000 6.9519
Sr Ca I
2 1 6
Cartesian
0.0000 4.6297 0.0000 Sr
4.0094 2.3148 0.0000 Sr
0.0000 0.0000 3.4759 Ca
-1.3236 2.2926 1.8178 I
-2.6858 4.6519 5.1340 I
2.6472 0.0000 1.8178 I
1.3236 2.2926 5.1340 I
5.3716 0.0000 5.1340 I
2.6858 4.6519 1.8178 I

Energy above the most stable structure, in meV per atom: #a 0; #b 12